Entry 1:
Crystalline PrBi2Pd2 at its relaxed geometry, computed with PBE.

Properties
- Calculated volume: 252.0 Å³ per cell
- Raw total energy: -5.177 eV per atom
- Total moment: 0.00 Bohr magnetons per cell
- Offset from the most stable computed form: 4 meV per atom
- ΔH_f (0 K): -0.59 eV/atom

abc: 4.850 4.758 10.919
angles: 90.00 90.74 90.00
Atoms (fractional coordinates):
Pr1 0.214 0.250 0.273
Pr2 0.786 0.750 0.727
Bi1 0.251 0.750 0.002
Bi2 0.312 0.250 0.624
Bi3 0.688 0.750 0.376
Bi4 0.749 0.250 0.998
Pd1 0.188 0.750 0.502
Pd2 0.241 0.250 0.866
Pd3 0.759 0.750 0.134
Pd4 0.812 0.250 0.498


Entry 2:
Crystalline Y4CuTe at its relaxed geometry, computed with PBE.

Properties
- Calculated volume: 643.3 Å³ per cell
- Raw total energy: -6.038 eV per atom
- Total moment: 0.00 Bohr magnetons per cell
- Offset from the most stable computed form: 0 meV per atom

abc: 8.371 3.956 19.423
angles: 90.00 90.00 90.00
Atoms (fractional coordinates):
Y1 0.013 0.250 0.217
Y2 0.027 0.250 0.930
Y3 0.122 0.250 0.444
Y4 0.164 0.250 0.647
Y5 0.336 0.750 0.147
Y6 0.378 0.750 0.944
Y7 0.473 0.750 0.430
Y8 0.487 0.750 0.717
Y9 0.513 0.250 0.283
Y10 0.527 0.250 0.570
Y11 0.622 0.250 0.056
Y12 0.664 0.250 0.853
Y13 0.836 0.750 0.353
Y14 0.878 0.750 0.556
Y15 0.973 0.750 0.070
Y16 0.987 0.750 0.783
Cu1 0.239 0.250 0.050
Cu2 0.261 0.750 0.550
Cu3 0.739 0.250 0.450
Cu4 0.761 0.750 0.950
Te1 0.214 0.750 0.312
Te2 0.286 0.250 0.812
Te3 0.714 0.750 0.188
Te4 0.786 0.250 0.688


Entry 3:
Crystalline LaRu4 at its relaxed geometry, computed with PBE.

Properties
- Calculated volume: 105.9 Å³ per cell
- Raw total energy: -6.228 eV per atom
- Total moment: 5.52 Bohr magnetons per cell
- Offset from the most stable computed form: 2079 meV per atom
- ΔH_f (0 K): 2.18 eV/atom

abc: 4.731 4.731 4.731
angles: 90.00 90.00 90.00
Atoms (fractional coordinates):
La1 0.000 0.000 0.000
Ru1 0.000 0.000 0.500
Ru2 0.000 0.500 0.000
Ru3 0.500 0.000 0.000
Ru4 0.500 0.500 0.500


Entry 4:
Crystalline NpGa2Fe at its relaxed geometry, computed with PBE.

Properties
- Calculated volume: 73.7 Å³ per cell
- Raw total energy: -6.796 eV per atom
- Total moment: 1.92 Bohr magnetons per cell
- ΔH_f (0 K): 0.07 eV/atom

abc: 5.400 5.400 5.400
angles: 45.77 45.77 45.77
Atoms (fractional coordinates):
Np1 0.000 0.000 0.000
Ga1 0.217 0.217 0.217
Ga2 0.783 0.783 0.783
Fe1 0.500 0.500 0.500


Entry 5:
Crystalline ThS2I at its relaxed geometry, computed with PBE.

Properties
- Calculated volume: 162.9 Å³ per cell
- Raw total energy: -5.510 eV per atom
- Total moment: 0.99 Bohr magnetons per cell

abc: 11.031 11.031 11.031
angles: 21.84 21.84 21.84
Atoms (fractional coordinates):
Th1 0.000 0.000 0.000
S1 0.290 0.290 0.290
S2 0.710 0.710 0.710
I1 0.500 0.500 0.500


Entry 6:
Crystalline LiMnTe at its relaxed geometry, computed with PBE.

Properties
- Calculated volume: 64.7 Å³ per cell
- Raw total energy: -4.933 eV per atom
- Total moment: 4.00 Bohr magnetons per cell
- Offset from the most stable computed form: 2 meV per atom

abc: 4.507 4.507 4.507
angles: 60.00 60.00 60.00
Atoms (fractional coordinates):
Li1 0.000 0.000 0.000
Mn1 0.500 0.500 0.500
Te1 0.750 0.750 0.750